Record 1
SmSbTe3 | PBE-GGA | relaxed

## Properties
electronic total energy	-4.397	eV/atom
symmetry	R3m (160)
ΔE to the lowest computed polymorph	0.000	eV per atom

a = 4.394 Å, b = 4.394 Å, c = 10.874 Å
α = 78.34°, β = 78.34°, γ = 60.00°
Atoms (fractional coordinates):
1 Sb 0.399 0.399 0.804
2 Te 0.783 0.783 0.650
3 Te 0.000 0.000 0.001
4 Te 0.216 0.216 0.353
5 Sm 0.603 0.603 0.192

---

Record 2
LiVH2 | PBE-GGA | relaxed

## Properties
electronic total energy	-4.463	eV/atom
symmetry	I-42d (122)
ΔE to the lowest computed polymorph	0.173	eV per atom

a = 4.660 Å, b = 4.660 Å, c = 4.419 Å
α = 58.18°, β = 58.18°, γ = 90.00°
Atoms (fractional coordinates):
1 H 0.375 0.370 0.750
2 H 0.120 0.625 0.250
3 H 0.630 0.125 0.250
4 H 0.875 0.880 0.750
5 V 0.750 0.250 0.500
6 V 0.000 0.000 0.000
7 Li 0.500 0.500 0.000
8 Li 0.250 0.750 0.500

---

Record 3
DyPdF5 | PBE-GGA | relaxed

## Properties
electronic total energy	-5.555	eV/atom
symmetry	P-1 (2)

a = 5.827 Å, b = 5.695 Å, c = 7.932 Å
α = 102.09°, β = 94.06°, γ = 99.50°
Site moments in Bohr magnetons follow the coordinates.
Atoms (fractional coordinates):
1 F 0.333 0.714 0.458  0.00
2 F 0.333 0.214 0.958  0.00
3 F 0.198 0.278 0.625  0.00
4 F 0.801 0.725 0.374  0.00
5 F 0.197 0.778 0.124  0.00
6 F 0.999 0.751 0.749  0.00
7 F 0.665 0.289 0.541  0.00
8 F 0.665 0.789 0.041  0.00
9 F 0.999 0.251 0.249  0.00
10 F 0.801 0.225 0.874  0.00
11 Pd 0.499 0.751 0.249  0.07
12 Pd 0.499 0.251 0.749  0.07
13 Dy 0.999 0.001 0.999  0.00
14 Dy 0.999 0.501 0.499  0.00

---

What did the third record say?
DyPdF5 | PBE-GGA | relaxed

## Properties
electronic total energy	-5.555	eV/atom
symmetry	P-1 (2)

a = 5.827 Å, b = 5.695 Å, c = 7.932 Å
α = 102.09°, β = 94.06°, γ = 99.50°
Site moments in Bohr magnetons follow the coordinates.
Atoms (fractional coordinates):
1 F 0.333 0.714 0.458  0.00
2 F 0.333 0.214 0.958  0.00
3 F 0.198 0.278 0.625  0.00
4 F 0.801 0.725 0.374  0.00
5 F 0.197 0.778 0.124  0.00
6 F 0.999 0.751 0.749  0.00
7 F 0.665 0.289 0.541  0.00
8 F 0.665 0.789 0.041  0.00
9 F 0.999 0.251 0.249  0.00
10 F 0.801 0.225 0.874  0.00
11 Pd 0.499 0.751 0.249  0.07
12 Pd 0.499 0.251 0.749  0.07
13 Dy 0.999 0.001 0.999  0.00
14 Dy 0.999 0.501 0.499  0.00

---

Which of these has the lowest electronic total energy? DyPdF5

---

Please write out number 2 again, unchanged.
LiVH2 | PBE-GGA | relaxed

## Properties
electronic total energy	-4.463	eV/atom
symmetry	I-42d (122)
ΔE to the lowest computed polymorph	0.173	eV per atom

a = 4.660 Å, b = 4.660 Å, c = 4.419 Å
α = 58.18°, β = 58.18°, γ = 90.00°
Atoms (fractional coordinates):
1 H 0.375 0.370 0.750
2 H 0.120 0.625 0.250
3 H 0.630 0.125 0.250
4 H 0.875 0.880 0.750
5 V 0.750 0.250 0.500
6 V 0.000 0.000 0.000
7 Li 0.500 0.500 0.000
8 Li 0.250 0.750 0.500

---

Among the records above, which one has the highest electronic total energy? SmSbTe3